Record 1
A plane-wave DFT calculation with PBE-GGA was carried out for a relaxed NbGaFePd crystal.

a b c (Å): 4.4223 4.4223 4.4223
angles (deg): 60.00 60.00 60.00
Closest atoms and distances in Å follow each position.
Fractional coordinates of all 4 atoms:
Fe 0.7500 0.7500 0.7500  4 Pd 2.71, 4 Ga 2.71
Ga 0.0000 0.0000 0.0000  4 Fe 2.71, 4 Nb 2.71
Nb 0.2500 0.2500 0.2500  4 Pd 2.71, 4 Ga 2.71
Pd 0.5000 0.5000 0.5000  4 Fe 2.71, 4 Nb 2.71

Crystal system = cubic
Space group = F-43m, No. 216
Energy above the lowest structure with this stoichiometry = 133 meV per atom

---

Record 2
A plane-wave DFT calculation with PBE-GGA was carried out for a relaxed NbGaFePd crystal.

a b c (Å): 4.3828 4.3828 4.3828
angles (deg): 60.00 60.00 60.00
Closest atoms and distances in Å follow each position.
Fractional coordinates of all 4 atoms:
Fe 0.7500 0.7500 0.7500  4 Nb 2.68, 4 Ga 2.68
Ga 0.0000 0.0000 0.0000  4 Fe 2.68, 4 Pd 2.68
Nb 0.5000 0.5000 0.5000  4 Fe 2.68, 4 Pd 2.68
Pd 0.2500 0.2500 0.2500  4 Nb 2.68, 4 Ga 2.68

Crystal system = cubic
Space group = F-43m, No. 216
Energy above the lowest structure with this stoichiometry = 0 meV per atom